Run one
{"formula": "CoPtW2", "functional": "GGA-PBEsol", "state": "relaxed", "cell": [[2.683, 0.000, 0.000], [0.000, 3.884, 0.000], [0.000, 0.000, 5.374]], "species": ["Co", "W", "W", "Pt"], "fractional_positions": [[0.500, 0.500, 0.000], [0.000, 0.000, 0.764], [0.000, 0.000, 0.236], [0.500, 0.500, 0.500]], "sg": "Pmmm (47)"}


Run two
{"formula": "CoPtW2", "functional": "GGA-PBEsol", "state": "relaxed", "cell": [[4.339, 0.000, 0.000], [2.170, 3.758, 0.000], [2.170, 1.253, 3.543]], "species": ["Pt", "W", "W", "Co"], "fractional_positions": [[0.500, 0.500, 0.500], [0.250, 0.250, 0.250], [0.750, 0.750, 0.750], [0.000, 0.000, 0.000]], "sg": "Fm-3m (225)"}


Which is most stable, and by how much? run one, by 500 meV/atom.


Run one
{"formula": "CoPtW2", "functional": "GGA-PBEsol", "state": "relaxed", "cell": [[3.760, 0.000, 0.000], [0.000, 3.760, 0.000], [0.000, 0.000, 3.947]], "species": ["Co", "Pt", "W", "W"], "fractional_positions": [[0.500, 0.500, 0.500], [0.000, 0.000, 0.500], [0.500, 0.000, 0.000], [0.000, 0.500, 0.000]], "sg": "P4/mmm (123)"}


Run two
{"formula": "CoPtW2", "functional": "GGA-PBEsol", "state": "relaxed", "cell": [[-2.010, 1.717, -0.799], [-1.131, -2.909, -3.405], [-2.492, -1.141, 3.817]], "species": ["Pt", "Co", "W", "W"], "fractional_positions": [[0.000, 0.500, 0.500], [0.500, 0.000, 0.500], [0.500, 0.500, 0.000], [0.000, 0.000, 0.000]], "sg": "P2/m (10)"}


Which is most stable, and by how much? run one, by 194 meV/atom.


Run one
{"formula": "CoPt2W", "functional": "GGA-PBEsol", "state": "relaxed", "cell": [[3.809, 0.000, 0.000], [0.000, 3.809, 0.000], [-1.904, -1.904, 3.809]], "species": ["Pt", "Pt", "W", "Co"], "fractional_positions": [[0.750, 0.250, 0.500], [0.000, 0.000, 0.000], [0.500, 0.500, 0.000], [0.250, 0.750, 0.500]], "sg": "I-4m2 (119)"}


Run two
{"formula": "CoPt2W", "functional": "GGA-PBEsol", "state": "relaxed", "cell": [[2.723, 0.000, 0.000], [0.000, 4.671, 0.004], [0.000, -1.606, 4.401]], "species": ["W", "Co", "Pt", "Pt"], "fractional_positions": [[0.500, 0.000, 0.500], [0.000, 0.500, 0.500], [0.500, 0.500, 0.000], [0.000, 0.000, 0.000]], "sg": "P2/m (10)"}


Which is most stable, and by how much? run one, by 179 meV/atom.


Run one
{"formula": "CoPt2W", "functional": "GGA-PBEsol", "state": "relaxed", "cell": [[2.737, 0.000, 0.000], [1.369, 2.370, 0.000], [1.369, 0.790, 8.726]], "species": ["Pt", "Pt", "Co", "W"], "fractional_positions": [[0.747, 0.747, 0.759], [0.253, 0.253, 0.241], [0.000, 0.000, 0.000], [0.500, 0.500, 0.500]], "sg": "R-3m (166)"}


Run two
{"formula": "CoPt2W", "functional": "GGA-PBEsol", "state": "relaxed", "cell": [[-1.233, -0.020, -2.402], [-2.700, -3.113, 1.412], [-3.048, 3.341, 1.536]], "species": ["W", "Co", "Pt", "Pt"], "fractional_positions": [[0.500, 0.000, 0.528], [0.500, 0.500, 0.216], [0.000, 0.000, 0.047], [0.000, 0.500, 0.709]], "sg": "Pmm2 (25)"}


Run three
{"formula": "CoPt2W", "functional": "GGA-PBEsol", "state": "relaxed", "cell": [[3.764, 0.000, 0.000], [0.000, 3.764, 0.000], [-1.882, -1.882, 3.895]], "species": ["W", "Pt", "Pt", "Co"], "fractional_positions": [[0.000, 0.000, 0.000], [0.250, 0.750, 0.500], [0.750, 0.250, 0.500], [0.500, 0.500, 0.000]], "sg": "I4/mmm (139)"}


Which is most stable, and by how much? run three, by 54 meV/atom.


Run one
{"formula": "RbCoSb3", "functional": "GGA-PBEsol", "state": "relaxed", "cell": [[5.762, 0.000, 0.000], [0.000, 5.762, 0.000], [0.000, 0.000, 5.762]], "species": ["Sb", "Sb", "Sb", "Co", "Rb"], "fractional_positions": [[0.000, 0.000, 0.500], [0.000, 0.500, 0.000], [0.500, 0.000, 0.000], [0.500, 0.500, 0.500], [0.000, 0.000, 0.000]], "sg": "Pm-3m (221)"}


Run two
{"formula": "RbCoSb3", "functional": "GGA-PBEsol", "state": "relaxed", "cell": [[5.088, 0.000, 0.000], [0.000, 5.088, 0.000], [0.000, 0.000, 5.088]], "species": ["Sb", "Sb", "Sb", "Rb", "Co"], "fractional_positions": [[0.000, 0.000, 0.500], [0.500, 0.000, 0.000], [0.000, 0.500, 0.000], [0.500, 0.500, 0.500], [0.000, 0.000, 0.000]], "sg": "Pm-3m (221)"}


Which is most stable, and by how much? run two, by 2035 meV/atom.


Run one
{"formula": "CoRe2", "functional": "GGA-PBEsol", "state": "relaxed", "cell": [[2.675, 0.000, 0.000], [-1.338, 2.317, 0.000], [0.000, 0.000, 6.442]], "species": ["Re", "Re", "Co"], "fractional_positions": [[0.333, 0.667, 0.322], [0.667, 0.333, 0.678], [0.000, 0.000, 0.000]], "sg": "P-3m1 (164)"}


Run two
{"formula": "CoRe2", "functional": "GGA-PBEsol", "state": "relaxed", "cell": [[4.624, 0.000, 0.000], [2.312, 4.112, 0.000], [2.312, 0.000, 4.112]], "species": ["Re", "Re", "Re", "Re", "Co", "Co"], "fractional_positions": [[0.348, 0.500, 0.804], [0.848, 0.804, 0.500], [0.152, 0.196, 0.500], [0.652, 0.500, 0.196], [0.250, 0.000, 0.000], [0.750, 0.000, 0.000]], "sg": "I4/mcm (140)"}


Which is most stable, and by how much? run two, by 187 meV/atom.


Run one
{"formula": "CoRe2", "functional": "GGA-PBEsol", "state": "relaxed", "cell": [[2.559, 0.000, 0.000], [0.000, 4.175, 0.000], [0.000, 0.000, 4.175]], "species": ["Re", "Re", "Co"], "fractional_positions": [[0.500, 0.500, 0.000], [0.500, 0.000, 0.500], [0.000, 0.000, 0.000]], "sg": "P4/mmm (123)"}


Run two
{"formula": "CoRe2", "functional": "GGA-PBEsol", "state": "relaxed", "cell": [[-0.891, 2.497, 0.272], [-4.029, -2.940, 0.739], [2.679, 0.341, 5.644]], "species": ["Re", "Re", "Re", "Re", "Co", "Co"], "fractional_positions": [[0.635, 0.269, 0.527], [0.365, 0.731, 0.473], [0.684, 0.368, 0.135], [0.316, 0.632, 0.865], [0.971, 0.943, 0.191], [0.029, 0.057, 0.809]], "sg": "C2/m (12)"}


Run three
{"formula": "CoRe2", "functional": "GGA-PBEsol", "state": "relaxed", "cell": [[-1.714, -1.511, -1.356], [3.167, -1.297, -2.557], [2.146, -4.556, 4.969]], "species": ["Re", "Re", "Re", "Re", "Co", "Co"], "fractional_positions": [[0.447, 0.250, 0.895], [0.778, 0.250, 0.556], [0.222, 0.750, 0.444], [0.553, 0.750, 0.105], [0.110, 0.250, 0.219], [0.890, 0.750, 0.781]], "sg": "Cmcm (63)"}


Run four
{"formula": "CoRe2", "functional": "GGA-PBEsol", "state": "relaxed", "cell": [[-0.542, 2.837, 2.985], [-3.293, -1.642, -1.927], [-0.197, -3.807, 3.581]], "species": ["Re", "Re", "Re", "Re", "Co", "Co"], "fractional_positions": [[0.333, 0.667, 0.750], [0.000, 0.000, 0.500], [0.000, 0.000, 0.000], [0.667, 0.333, 0.250], [0.333, 0.667, 0.250], [0.667, 0.333, 0.750]], "sg": "P6_3/mmc (194)"}


Which is most stable, and by how much? run three, by 7 meV/atom.


Run one
{"formula": "CoRe2", "functional": "GGA-PBEsol", "state": "relaxed", "cell": [[-3.501, 0.187, -1.335], [0.442, -3.351, -1.628], [-2.257, -3.405, 10.718]], "species": ["Co", "Co", "Co", "Co", "Re", "Re", "Re", "Re", "Re", "Re", "Re", "Re"], "fractional_positions": [[0.334, 0.834, 0.669], [0.166, 0.666, 0.331], [0.916, 0.916, 0.831], [0.084, 0.084, 0.169], [0.586, 0.586, 0.172], [0.751, 0.751, 0.503], [0.664, 0.164, 0.328], [0.499, 0.999, 0.997], [0.414, 0.414, 0.828], [0.249, 0.249, 0.497], [0.001, 0.501, 0.003], [0.836, 0.336, 0.672]], "sg": "I4_1/amd (141)"}


Run two
{"formula": "CoRe2", "functional": "GGA-PBEsol", "state": "relaxed", "cell": [[-1.492, 2.029, -0.803], [-1.219, -3.355, -6.209], [-4.400, -1.036, 5.555]], "species": ["Re", "Re", "Re", "Re", "Re", "Re", "Co", "Co", "Co"], "fractional_positions": [[0.500, 0.368, 0.368], [0.500, 0.000, 0.632], [0.000, 0.000, 0.299], [0.000, 0.299, 0.000], [0.500, 0.632, 0.000], [0.000, 0.701, 0.701], [0.000, 0.667, 0.333], [0.500, 0.000, 0.000], [0.000, 0.333, 0.667]], "sg": "P-62m (189)"}


Which is most stable, and by how much? run two, by 36 meV/atom.